Entry 1:
An optimized crystal structure of Er2Fe2P2C, computed with GGA-PBE.

a = 5.5396 Å, b = 5.5396 Å, c = 6.5023 Å
α = 124.13°, β = 124.13°, γ = 39.64°
Closest atoms and distances in Å follow each position.
Fractional positions:
Er: 0.0614 0.0614 0.3038  2 C 2.52, 1 P 2.82
Er: 0.9386 0.9386 0.6962  2 C 2.52, 1 P 2.82
Fe: 0.3034 0.3034 0.9185  1 C 1.78
Fe: 0.6966 0.6966 0.0815  1 C 1.78
P: 0.3237 0.3237 0.2830  3 Fe 2.22-2.25
P: 0.6763 0.6763 0.7170  3 Fe 2.22-2.25
C: 0.5000 0.5000 0.0000  2 Fe 1.78

Summary:
SG   No. 12
Energy   -7.500 eV/atom
Energy of formation from the pure elements   -0.915 eV per atom
V   102 Å³/cell



Entry 2:
An optimized crystal structure of ErPa2FeC4, computed with GGA-PBE.

a = 5.9702 Å, b = 5.9702 Å, c = 11.8923 Å
α = 90.00°, β = 90.00°, γ = 145.92°
Closest atoms and distances in Å follow each position.
Fractional positions:
Er: 0.1143 0.8857 0.7500  6 C 2.63-2.87
Er: 0.8857 0.1143 0.2500  6 C 2.63-2.87
Pa: 0.3658 0.6342 0.5466  6 C 2.39-2.52
Pa: 0.3658 0.6342 0.9534  6 C 2.39-2.52
Pa: 0.6342 0.3658 0.0466  6 C 2.39-2.52
Pa: 0.6342 0.3658 0.4534  6 C 2.39-2.52
Fe: 0.1567 0.8433 0.2500  4 C 1.87-1.93
Fe: 0.8433 0.1567 0.7500  4 C 1.87-1.93
C: 0.0000 0.0000 0.0000  4 Pa 2.39
C: 0.0000 0.0000 0.5000  4 Pa 2.39
C: 0.2650 0.7350 0.1322  1 Fe 1.87
C: 0.2650 0.7350 0.3678  1 Fe 1.87
C: 0.4154 0.5846 0.7500  2 Fe 1.93
C: 0.5846 0.4154 0.2500  2 Fe 1.93
C: 0.7350 0.2650 0.6322  1 Fe 1.87
C: 0.7350 0.2650 0.8678  1 Fe 1.87

Summary:
SG   No. 63
Energy   -8.759 eV/atom
Energy of formation from the pure elements   -0.145 eV per atom
V   238 Å³/cell



Entry 3:
An optimized crystal structure of ErFe2SiC, computed with GGA-PBE.

a = 5.5258 Å, b = 5.5258 Å, c = 6.7087 Å
α = 90.00°, β = 90.00°, γ = 140.70°
Closest atoms and distances in Å follow each position.
Fractional positions:
Er: 0.0499 0.9501 0.7500  4 C 2.56
Er: 0.9501 0.0499 0.2500  4 C 2.56
Fe: 0.3347 0.6653 0.5624  1 C 1.77
Fe: 0.3347 0.6653 0.9376  1 C 1.77
Fe: 0.6653 0.3347 0.0624  1 C 1.77
Fe: 0.6653 0.3347 0.4376  1 C 1.77
Si: 0.2303 0.7697 0.2500  6 Fe 2.34-2.36
Si: 0.7697 0.2303 0.7500  6 Fe 2.34-2.36
C: 0.5000 0.5000 0.0000  2 Fe 1.77
C: 0.5000 0.5000 0.5000  2 Fe 1.77

Summary:
SG   No. 63
Energy   -7.770 eV/atom
ΔE_f (raw)   -262 kJ/mol of formula units
V   130 Å³/cell



Entry 4:
An optimized crystal structure of ErFeSiC, computed with GGA-PBE.

a = 3.6041 Å, b = 3.6041 Å, c = 8.8585 Å
α = 90.00°, β = 90.00°, γ = 90.00°
Closest atoms and distances in Å follow each position.
Fractional positions:
Er: 0.2500 0.2500 0.1393  5 C 2.37-2.55
Er: 0.7500 0.7500 0.8607  5 C 2.37-2.55
Fe: 0.2500 0.7500 0.5000  4 Si 2.34, 4 Fe 2.55
Fe: 0.7500 0.2500 0.5000  4 Si 2.34, 4 Fe 2.55
Si: 0.2500 0.2500 0.6682  1 C 1.80
Si: 0.7500 0.7500 0.3318  1 C 1.80
C: 0.2500 0.2500 0.8717  1 Si 1.80
C: 0.7500 0.7500 0.1283  1 Si 1.80

Summary:
SG   No. 129
Energy   -7.340 eV/atom
ΔE_f (raw)   -163 kJ/mol of formula units
V   115 Å³/cell



Entry 5:
An optimized crystal structure of Er2FeSiC, computed with GGA-PBE.

a = 3.6641 Å, b = 3.6641 Å, c = 12.6997 Å
α = 90.00°, β = 90.00°, γ = 90.00°
Closest atoms and distances in Å follow each position.
Fractional positions:
Er: 0.2500 0.2500 0.0918  5 C 2.49-2.60
Er: 0.2500 0.2500 0.7109  1 C 2.35
Er: 0.7500 0.7500 0.2891  1 C 2.35
Er: 0.7500 0.7500 0.9082  5 C 2.49-2.60
Fe: 0.2500 0.7500 0.5000  4 Si 2.35, 4 Fe 2.59
Fe: 0.7500 0.2500 0.5000  4 Si 2.35, 4 Fe 2.59
Si: 0.2500 0.2500 0.3846  4 Fe 2.35
Si: 0.7500 0.7500 0.6154  4 Fe 2.35
C: 0.2500 0.2500 0.8961  6 Er 2.35-2.60
C: 0.7500 0.7500 0.1039  6 Er 2.35-2.60

Summary:
SG   No. 129
Energy   -6.889 eV/atom
ΔE_f (raw)   -213 kJ/mol of formula units
V   170 Å³/cell



Entry 6:
An optimized crystal structure of ErFe2Si2C, computed with GGA-PBE.

a = 3.8679 Å, b = 3.8679 Å, c = 5.1371 Å
α = 90.00°, β = 90.00°, γ = 90.00°
Closest atoms and distances in Å follow each position.
Fractional positions:
Er: 0.0000 0.0000 0.0000  2 C 2.57
Fe: 0.0000 0.5000 0.5000  2 C 1.93
Fe: 0.5000 0.0000 0.5000  2 C 1.93
Si: 0.5000 0.5000 0.2282  1 Si 2.34, 4 Fe 2.39
Si: 0.5000 0.5000 0.7718  1 Si 2.34, 4 Fe 2.39
C: 0.0000 0.0000 0.5000  4 Fe 1.93

Summary:
SG   No. 123
Energy   -7.345 eV/atom
ΔE_f (raw)   -242 kJ/mol of formula units
V   77 Å³/cell



Entry 7:
An optimized crystal structure of SmErFe17C2, computed with GGA-PBE.

a = 6.4640 Å, b = 6.4640 Å, c = 6.4898 Å
α = 96.35°, β = 96.35°, γ = 83.53°
Closest atoms and distances in Å follow each position.
Fractional positions:
Sm: 0.0000 0.0000 0.0000  2 C 2.56
Er: 0.6944 0.6944 0.3294  2 C 2.48
Fe: 0.0018 0.0018 0.5168  9 Fe 2.48-2.67
Fe: 0.0034 0.4962 0.0048  1 C 1.91
Fe: 0.0623 0.3472 0.3782  1 C 1.86
Fe: 0.0637 0.6317 0.6619  8 Fe 2.43-2.64
Fe: 0.2022 0.6910 0.3222  1 C 1.91
Fe: 0.2517 0.2517 0.7580  7 Fe 2.39-2.67
Fe: 0.3472 0.0623 0.3782  1 C 1.86
Fe: 0.3474 0.3474 0.1627  10 Fe 2.43-2.65
Fe: 0.3481 0.8480 0.6628  10 Fe 2.43-2.63
Fe: 0.3509 0.6327 0.9485  1 C 1.86
Fe: 0.4452 0.4452 0.5666  7 Fe 2.39-2.65
Fe: 0.4962 0.0034 0.0048  1 C 1.91
Fe: 0.6317 0.0637 0.6619  8 Fe 2.43-2.64
Fe: 0.6327 0.3509 0.9485  1 C 1.86
Fe: 0.6910 0.2022 0.3222  1 C 1.91
Fe: 0.6925 0.6925 0.8058  9 Fe 2.46-2.65
Fe: 0.8480 0.3481 0.6628  10 Fe 2.43-2.63
C: 0.3537 0.8453 0.1654  4 Fe 1.86-1.91
C: 0.8453 0.3537 0.1654  4 Fe 1.86-1.91

Summary:
SG   No. 8
Energy   -8.224 eV/atom
Energy of formation from the pure elements   -0.052 eV per atom
V   266 Å³/cell



Entry 8:
An optimized crystal structure of ErTa2FeC4, computed with GGA-PBE.

a = 5.6944 Å, b = 5.6944 Å, c = 10.8407 Å
α = 90.00°, β = 90.00°, γ = 147.40°
Closest atoms and distances in Å follow each position.
Fractional positions:
Er: 0.1052 0.8948 0.7500  6 C 2.52-2.57
Er: 0.8948 0.1052 0.2500  6 C 2.52-2.57
Ta: 0.3689 0.6311 0.5431  6 C 2.09-2.33
Ta: 0.3689 0.6311 0.9569  6 C 2.09-2.33
Ta: 0.6311 0.3689 0.0431  6 C 2.09-2.33
Ta: 0.6311 0.3689 0.4569  6 C 2.09-2.33
Fe: 0.1608 0.8392 0.2500  4 C 1.83-1.87
Fe: 0.8392 0.1608 0.7500  4 C 1.83-1.87
C: 0.0000 0.0000 0.0000  4 Ta 2.20
C: 0.0000 0.0000 0.5000  4 Ta 2.20
C: 0.2656 0.7344 0.1186  1 Fe 1.83
C: 0.2656 0.7344 0.3814  1 Fe 1.83
C: 0.4273 0.5727 0.7500  2 Fe 1.87
C: 0.5727 0.4273 0.2500  2 Fe 1.87
C: 0.7344 0.2656 0.6186  1 Fe 1.83
C: 0.7344 0.2656 0.8814  1 Fe 1.83

Summary:
SG   No. 63
Energy   -9.532 eV/atom
Energy of formation from the pure elements   -0.328 eV per atom
V   189 Å³/cell



Entry 9:
An optimized crystal structure of Er2ZnFeC, computed with GGA-PBE.

a = 4.8956 Å, b = 4.8956 Å, c = 3.6617 Å
α = 90.00°, β = 90.00°, γ = 90.00°
Closest atoms and distances in Å follow each position.
Fractional positions:
Er: 0.0000 0.5000 0.0000  2 C 2.45
Er: 0.5000 0.0000 0.0000  2 C 2.45
Zn: 0.0000 0.0000 0.5000  8 Er 3.06
Fe: 0.5000 0.5000 0.5000  2 C 1.83
C: 0.5000 0.5000 0.0000  2 Fe 1.83

Summary:
SG   No. 123
Energy   -5.978 eV/atom
Energy of formation from the pure elements   -0.360 eV per atom
V   88 Å³/cell



Entry 10:
An optimized crystal structure of ErZnFeC, computed with GGA-PBE.

a = 3.4481 Å, b = 3.4481 Å, c = 9.9506 Å
α = 90.00°, β = 90.00°, γ = 90.00°
Closest atoms and distances in Å follow each position.
Fractional positions:
Er: 0.2500 0.2500 0.2259  4 C 2.75, 4 Fe 2.83
Er: 0.7500 0.7500 0.7741  4 C 2.75, 4 Fe 2.83
Zn: 0.2500 0.7500 0.5000  4 Zn 2.44
Zn: 0.7500 0.2500 0.5000  4 Zn 2.44
Fe: 0.2500 0.7500 0.0000  4 C 1.98
Fe: 0.7500 0.2500 0.0000  4 C 1.98
C: 0.2500 0.2500 0.9015  4 Fe 1.98
C: 0.7500 0.7500 0.0985  4 Fe 1.98

Summary:
SG   No. 129
Energy   -6.027 eV/atom
Energy of formation from the pure elements   -0.146 eV per atom
V   118 Å³/cell



Entry 11:
An optimized crystal structure of Er6Ga3C, computed with GGA-PBE.

a = 6.3649 Å, b = 7.7679 Å, c = 11.1914 Å
α = 90.00°, β = 119.79°, γ = 90.00°
Closest atoms and distances in Å follow each position.
Fractional positions:
Er: 0.0837 0.0452 0.2306  1 C 2.39
Er: 0.0837 0.4548 0.7306  1 C 2.39
Er: 0.1813 0.7090 0.0600  1 C 2.47
Er: 0.1813 0.7910 0.5600  1 C 2.47
Er: 0.3815 0.1534 0.0589  1 C 2.48
Er: 0.3815 0.3466 0.5589  1 C 2.48
Er: 0.6185 0.6534 0.4411  1 C 2.48
Er: 0.6185 0.8466 0.9411  1 C 2.48
Er: 0.8187 0.2090 0.4400  1 C 2.47
Er: 0.8187 0.2910 0.9400  1 C 2.47
Er: 0.9163 0.5452 0.2694  1 C 2.39
Er: 0.9163 0.9548 0.7694  1 C 2.39
Ga: 0.3192 0.1161 0.7466  6 Er 2.93-3.13
Ga: 0.3192 0.3839 0.2466  6 Er 2.93-3.13
Ga: 0.5000 0.0000 0.5000  6 Er 2.88-2.96
Ga: 0.5000 0.5000 0.0000  6 Er 2.88-2.96
Ga: 0.6808 0.6161 0.7534  6 Er 2.93-3.13
Ga: 0.6808 0.8839 0.2534  6 Er 2.93-3.13
C: 0.0000 0.0000 0.0000  6 Er 2.39-2.48
C: 0.0000 0.5000 0.5000  6 Er 2.39-2.48

Summary:
SG   No. 14
Energy   -4.978 eV/atom
Energy of formation from the pure elements   -0.410 eV per atom
V   480 Å³/cell



Entry 12:
An optimized crystal structure of Er8GaC4, computed with GGA-PBE.

a = 8.7920 Å, b = 8.7920 Å, c = 11.8175 Å
α = 130.93°, β = 130.93°, γ = 23.54°
Closest atoms and distances in Å follow each position.
Fractional positions:
Er: 0.0426 0.0426 0.2331  3 C 2.43-2.46
Er: 0.3018 0.3018 0.4385  3 C 2.43-2.49
Er: 0.3400 0.3400 0.1650  3 C 2.44-2.45
Er: 0.3646 0.3646 0.9076  3 C 2.45-2.46
Er: 0.6354 0.6354 0.0924  3 C 2.45-2.46
Er: 0.6600 0.6600 0.8350  3 C 2.44-2.45
Er: 0.6982 0.6982 0.5615  3 C 2.43-2.49
Er: 0.9574 0.9574 0.7669  3 C 2.43-2.46
Ga: 0.0000 0.0000 0.5000  10 Er 3.45-3.69, 2 Ga 3.59
C: 0.1495 0.1495 0.9653  6 Er 2.44-2.46
C: 0.3312 0.3312 0.6700  6 Er 2.43-2.49
C: 0.6688 0.6688 0.3300  6 Er 2.43-2.49
C: 0.8505 0.8505 0.0347  6 Er 2.44-2.46

Summary:
SG   No. 12
Energy   -6.182 eV/atom
Energy of formation from the pure elements   -0.303 eV per atom
V   271 Å³/cell



Which value of energy does entry 7 give?
-8.224 eV/atom



Which formula does entry 4 have?
ErFeSiC



What did the eleventh record say?
An optimized crystal structure of Er6Ga3C, computed with GGA-PBE.

a = 6.3649 Å, b = 7.7679 Å, c = 11.1914 Å
α = 90.00°, β = 119.79°, γ = 90.00°
Closest atoms and distances in Å follow each position.
Fractional positions:
Er: 0.0837 0.0452 0.2306  1 C 2.39
Er: 0.0837 0.4548 0.7306  1 C 2.39
Er: 0.1813 0.7090 0.0600  1 C 2.47
Er: 0.1813 0.7910 0.5600  1 C 2.47
Er: 0.3815 0.1534 0.0589  1 C 2.48
Er: 0.3815 0.3466 0.5589  1 C 2.48
Er: 0.6185 0.6534 0.4411  1 C 2.48
Er: 0.6185 0.8466 0.9411  1 C 2.48
Er: 0.8187 0.2090 0.4400  1 C 2.47
Er: 0.8187 0.2910 0.9400  1 C 2.47
Er: 0.9163 0.5452 0.2694  1 C 2.39
Er: 0.9163 0.9548 0.7694  1 C 2.39
Ga: 0.3192 0.1161 0.7466  6 Er 2.93-3.13
Ga: 0.3192 0.3839 0.2466  6 Er 2.93-3.13
Ga: 0.5000 0.0000 0.5000  6 Er 2.88-2.96
Ga: 0.5000 0.5000 0.0000  6 Er 2.88-2.96
Ga: 0.6808 0.6161 0.7534  6 Er 2.93-3.13
Ga: 0.6808 0.8839 0.2534  6 Er 2.93-3.13
C: 0.0000 0.0000 0.0000  6 Er 2.39-2.48
C: 0.0000 0.5000 0.5000  6 Er 2.39-2.48

Summary:
SG   No. 14
Energy   -4.978 eV/atom
Energy of formation from the pure elements   -0.410 eV per atom
V   480 Å³/cell